# 1
First-principles (PBE) data for an optimized crystal structure of SbMo2W, as listed in the Alexandria database.

Results
- spin magnetization (μB per atom) = 0.000
- calculated total energy (eV per atom) = -9.31
- symmetry = No. 6

```
4
Lattice="3.0360 0.0000 0.0000 0.0000 4.2457 0.0000 -0.0197 0.0000 5.3704" Properties=species:S:1:pos:R:3 pbc="T T T"
Sb 0.0000 0.0000 0.0000
Mo 0.0248 0.0000 2.6877
Mo 1.5153 2.1228 1.3626
W 1.4871 2.1228 3.8955
```

***

# 2
First-principles (PBE) data for an optimized crystal structure of SbMoW2, as listed in the Alexandria database.

Results
- spin magnetization (μB per atom) = 0.000
- calculated total energy (eV per atom) = -9.74
- symmetry = No. 10

```
4
Lattice="3.0157 0.0000 0.0000 0.0000 4.2773 0.0000 -0.0228 0.0000 5.3737" Properties=species:S:1:pos:R:3 pbc="T T T"
Sb 0.0000 0.0000 0.0000
Mo -0.0114 0.0000 2.6869
W 1.4844 2.1386 3.9690
W 1.5085 2.1386 1.4048
```

***

# 3
First-principles (PBE) data for an optimized crystal structure of SbMo2W, as listed in the Alexandria database.

Results
- spin magnetization (μB per atom) = 0.000
- calculated total energy (eV per atom) = -9.19
- symmetry = No. 35

```
4
Lattice="1.6623 -2.3798 0.0000 1.6623 2.3798 0.0000 0.0000 0.0000 8.9011" Properties=species:S:1:pos:R:3 pbc="T T T"
Sb 0.0000 0.0000 0.0000
Mo 0.0000 0.0000 4.4343
Mo 1.6623 0.0000 2.3464
W 1.6623 0.0000 6.5250
```

***

# 4
First-principles (PBE) data for an optimized crystal structure of SbMoW, as listed in the Alexandria database.

Results
- spin magnetization (μB per atom) = 0.000
- symmetry = No. 107
- polymorph energy (0 for the lowest one) (meV/atom) = 0.0

```
3
Lattice="-1.6551 1.6551 4.7654 1.6551 -1.6551 4.7654 1.6551 1.6551 -4.7654" Properties=species:S:1:pos:R:3 pbc="T T T"
Sb 0.0000 0.0000 0.0000
Mo 0.0000 0.0000 3.1371
W 0.0000 0.0000 6.4052
```

***

Copy entry 3 word for word.
First-principles (PBE) data for an optimized crystal structure of SbMo2W, as listed in the Alexandria database.

Results
- spin magnetization (μB per atom) = 0.000
- calculated total energy (eV per atom) = -9.19
- symmetry = No. 35

```
4
Lattice="1.6623 -2.3798 0.0000 1.6623 2.3798 0.0000 0.0000 0.0000 8.9011" Properties=species:S:1:pos:R:3 pbc="T T T"
Sb 0.0000 0.0000 0.0000
Mo 0.0000 0.0000 4.4343
Mo 1.6623 0.0000 2.3464
W 1.6623 0.0000 6.5250
```